A plane-wave DFT calculation with PBE was carried out for an optimized crystal structure of Ba7Cd3N2.

Summary:
Magnetization (Bohr magnetons per cell): 0.0
ΔE_f (raw) (eV per atom): -0.234
SG: Cmmm, No. 65
Crystal system: orthorhombic

a b c (Å): 5.572 5.572 19.367
angles (deg): 98.27 90.00 90.00
Sites, in units of the cell vectors:
Ba 0.000 0.148 0.297
Ba 0.500 0.073 0.146
Ba 0.000 0.000 0.000
Cd 0.500 0.363 0.725
N 0.000 0.917 0.834
Cd 0.500 0.500 0.000
N 0.000 0.083 0.166
Ba 0.500 0.927 0.854
Ba 0.000 0.573 0.146
Ba 0.000 0.852 0.703
Cd 0.500 0.637 0.275
Ba 0.000 0.427 0.854

A plane-wave DFT calculation with PBE was carried out for an optimized crystal structure of Ba3CdN.

Summary:
Polymorph energy (0 for the lowest one) (meV per atom): 58.7
Magnetization (Bohr magnetons per cell): 0.4
ΔE_f (raw) (eV per atom): -0.229
SG: C2/m, No. 12
Crystal system: monoclinic

a b c (Å): 7.632 7.640 8.761
angles (deg): 89.93 62.43 59.95
Sites, in units of the cell vectors:
N 0.049 0.930 0.735
Ba 0.358 0.527 0.510
Cd 0.933 0.488 0.399
Ba 0.358 0.024 0.510
Ba 0.068 0.670 0.970
Ba 0.561 0.175 0.970
Cd 0.493 0.709 0.080
Ba 0.068 0.172 0.970
N 0.378 0.266 0.744
Ba 0.866 0.022 0.509

Number 1: DFT total energy -35.7 eV per cell. Number 2: DFT total energy -32.3 eV per cell.